## i
The following is a DFT calculation (PBE) of a relaxed TaPt2Br crystal.

It has space group P4mm (No. 99), with a = 3.0033 Å, b = 3.0033 Å, c = 8.3162 Å, α = 90.00°, β = 90.00° and γ = 90.00°. The distinct sites, in fractional coordinates, are Ta at (0.0000, 0.0000, 0.0000), Pt at (0.0000, 0.0000, 0.5598), Pt at (0.5000, 0.5000, 0.7927) and Br at (0.5000, 0.5000, 0.2133).


## ii
The following is a DFT calculation (PBE) of a relaxed TaPt2Br crystal.

It has space group I-42d (No. 122), with a = 6.6640 Å, b = 6.6640 Å, c = 8.7010 Å, α = 90.00°, β = 90.00° and γ = 90.00°. The distinct sites, in fractional coordinates, are Ta at (0.0000, 0.0000, 0.0000), Pt at (0.2218, 0.2500, 0.1250) and Br at (0.0000, 0.0000, 0.5000).


## iii
The following is a DFT calculation (PBE) of a relaxed TaPt2Br crystal.

It has space group R3m (No. 160, hexagonal axes), with a = 2.9830 Å, b = 2.9830 Å, c = 28.2141 Å, α = 90.00°, β = 90.00° and γ = 120.00°. The distinct sites, in fractional coordinates, are Ta at (0.0000, 0.0000, 0.0000), Pt at (0.0000, 0.0000, 0.2566), Pt at (0.0000, 0.0000, 0.5084) and Br at (0.0000, 0.0000, 0.7379).


Which is most stable, and by how much? iii, by 1.2 kJ/mol of atoms.